# 1
Here is SrLi2AlAs after structural relaxation from Alexandria. Energies are from PBE.

Cell: 5.922 5.578 5.922 Å, 90.00 90.00 90.00°
Fractional coordinates of all 5 atoms:
Sr1 0.000 0.000 0.000
As1 0.000 0.500 0.000
Al1 0.500 0.500 0.500
Li1 0.000 0.000 0.500
Li2 0.500 0.000 0.000

Results
The calculation puts the volume at 39.12 Å³/atom. The magnetization is 0.00 μB per formula unit. The crystal system is tetragonal. As for the space group: P4/mmm. The electronic total energy comes out at -9.9 eV per cell. The value obtained for the formation enthalpy at 0 K is 0.794 eV per atom.

***

# 2
Here is LiAl2TeAs after structural relaxation from Alexandria. Energies are from PBE.

Cell: 5.007 4.825 5.007 Å, 90.00 90.00 90.00°
Fractional coordinates of all 5 atoms:
As1 0.000 0.000 0.000
Te1 0.500 0.500 0.500
Al1 0.000 0.000 0.500
Al2 0.500 0.000 0.000
Li1 0.000 0.500 0.000

Results
The calculation puts the volume at 24.19 Å³/atom. The magnetization is 0.00 μB per formula unit. The crystal system is tetragonal. As for the space group: P4/mmm. The electronic total energy comes out at -17.5 eV per cell. The uncorrected formation energy is -0.3 eV/f.u.